A geometry-optimized PrHoSi2Ni2 structure, computed with PBE.

Cell and atoms, written as CIF:
```
data_PrHoSi2Ni2
_chemical_formula_sum 'Pr1 Ho1 Si2 Ni2'
_symmetry_space_group_name_H-M 'P 1'
_symmetry_Int_Tables_number 1
_cell_length_a 3.998
_cell_length_b 3.998
_cell_length_c 8.229
_cell_angle_alpha 90.00
_cell_angle_beta 90.00
_cell_angle_gamma 120.00
loop_
_symmetry_equiv_pos_as_xyz
'x,y,z'
loop_
_atom_site_label
_atom_site_type_symbol
_atom_site_fract_x
_atom_site_fract_y
_atom_site_fract_z
_atom_site_occupancy
Pr1 Pr 0.000 0.000 0.000 1
Ho1 Ho 0.000 0.000 0.500 1
Si1 Si 0.333 0.667 0.261 1
Si2 Si 0.667 0.333 0.739 1
Ni1 Ni 0.333 0.667 0.734 1
Ni2 Ni 0.667 0.333 0.266 1
```

## Properties
DOS at the Fermi energy: 5.77 states/eV per cell
Final energy: -6.040 eV/atom
Spin magnetization: 0.00 μB per cell
Calculated volume: 113.9 Å³/cell
Space-group type: No. 164
Formation energy from raw total energies: -431.9 kJ/mol of formula units

***

A geometry-optimized Ca3InH structure, computed with PBE.

Cell and atoms, written as CIF:
```
data_Ca3InH
_chemical_formula_sum 'Ca12 In4 H4'
_symmetry_space_group_name_H-M 'P 1'
_symmetry_Int_Tables_number 1
_cell_length_a 9.306
_cell_length_b 6.873
_cell_length_c 10.375
_cell_angle_alpha 90.00
_cell_angle_beta 123.87
_cell_angle_gamma 90.00
loop_
_symmetry_equiv_pos_as_xyz
'x,y,z'
loop_
_atom_site_label
_atom_site_type_symbol
_atom_site_fract_x
_atom_site_fract_y
_atom_site_fract_z
_atom_site_occupancy
Ca1 Ca 0.015 0.021 0.258 1
Ca2 Ca 0.015 0.479 0.758 1
Ca3 Ca 0.278 0.250 0.139 1
Ca4 Ca 0.278 0.250 0.639 1
Ca5 Ca 0.400 0.732 0.950 1
Ca6 Ca 0.400 0.768 0.450 1
Ca7 Ca 0.600 0.232 0.550 1
Ca8 Ca 0.600 0.268 0.050 1
Ca9 Ca 0.722 0.750 0.361 1
Ca10 Ca 0.722 0.750 0.861 1
Ca11 Ca 0.985 0.521 0.242 1
Ca12 Ca 0.985 0.979 0.742 1
In1 In 0.162 0.750 0.081 1
In2 In 0.162 0.750 0.581 1
In3 In 0.838 0.250 0.419 1
In4 In 0.838 0.250 0.919 1
H1 H 0.316 0.118 0.409 1
H2 H 0.316 0.382 0.909 1
H3 H 0.684 0.618 0.091 1
H4 H 0.684 0.882 0.591 1
```

## Properties
DOS at the Fermi energy: 12.91 states/eV per cell
Final energy: -2.693 eV/atom
Spin magnetization: 0.00 μB per cell
Calculated volume: 551.0 Å³/cell
Distance to the lowest polymorph of the same formula: 91.7 meV per atom
Space-group type: No. 14

***

A geometry-optimized MgTl6In structure, computed with PBE.

Cell and atoms, written as CIF:
```
data_MgTl6In
_chemical_formula_sum 'Mg1 Tl6 In1'
_symmetry_space_group_name_H-M 'P 1'
_symmetry_Int_Tables_number 1
_cell_length_a 7.160
_cell_length_b 7.160
_cell_length_c 4.520
_cell_angle_alpha 90.00
_cell_angle_beta 90.00
_cell_angle_gamma 90.00
loop_
_symmetry_equiv_pos_as_xyz
'x,y,z'
loop_
_atom_site_label
_atom_site_type_symbol
_atom_site_fract_x
_atom_site_fract_y
_atom_site_fract_z
_atom_site_occupancy
Mg1 Mg 0.000 0.000 0.000 1
Tl1 Tl 0.000 0.500 0.000 1
Tl2 Tl 0.247 0.247 0.500 1
Tl3 Tl 0.247 0.753 0.500 1
Tl4 Tl 0.500 0.000 0.000 1
Tl5 Tl 0.753 0.247 0.500 1
Tl6 Tl 0.753 0.753 0.500 1
In1 In 0.500 0.500 0.000 1
```

## Properties
DFT formation energy: 0.03 eV per atom
DOS at the Fermi energy: 4.03 states/eV per cell
Final energy: -2.286 eV/atom
Spin magnetization: 0.00 μB per cell
Calculated volume: 231.7 Å³/cell
Distance to the lowest polymorph of the same formula: 0.0 meV per atom
Space-group type: No. 123

***

A geometry-optimized SrMn2Br structure, computed with PBE.

Cell and atoms, written as CIF:
```
data_SrMn2Br
_chemical_formula_sum 'Sr1 Mn2 Br1'
_symmetry_space_group_name_H-M 'P 1'
_symmetry_Int_Tables_number 1
_cell_length_a 6.732
_cell_length_b 6.732
_cell_length_c 4.449
_cell_angle_alpha 109.20
_cell_angle_beta 109.20
_cell_angle_gamma 33.04
loop_
_symmetry_equiv_pos_as_xyz
'x,y,z'
loop_
_atom_site_label
_atom_site_type_symbol
_atom_site_fract_x
_atom_site_fract_y
_atom_site_fract_z
_atom_site_occupancy
Sr1 Sr 0.000 0.000 0.000 1
Mn1 Mn 0.274 0.274 0.274 1
Mn2 Mn 0.726 0.726 0.726 1
Br1 Br 0.500 0.500 0.500 1
```

## Properties
DOS at the Fermi energy: 3.00 states/eV per cell
Final energy: -5.285 eV/atom
Spin magnetization: 8.14 μB per cell
Calculated volume: 103.2 Å³/cell
Distance to the lowest polymorph of the same formula: 134.3 meV per atom
Space-group type: No. 12
Formation energy from raw total energies: 53.4 kJ/mol of formula units

***

A geometry-optimized LaDyNiIr structure, computed with PBE.

Cell and atoms, written as CIF:
```
data_LaDyNiIr
_chemical_formula_sum 'La1 Dy1 Ni1 Ir1'
_symmetry_space_group_name_H-M 'P 1'
_symmetry_Int_Tables_number 1
_cell_length_a 4.159
_cell_length_b 5.769
_cell_length_c 5.769
_cell_angle_alpha 39.95
_cell_angle_beta 90.00
_cell_angle_gamma 90.00
loop_
_symmetry_equiv_pos_as_xyz
'x,y,z'
loop_
_atom_site_label
_atom_site_type_symbol
_atom_site_fract_x
_atom_site_fract_y
_atom_site_fract_z
_atom_site_occupancy
La1 La 0.000 0.000 0.000 1
Dy1 Dy 0.500 0.280 0.280 1
Ni1 Ni 0.500 0.569 0.569 1
Ir1 Ir 0.000 0.725 0.725 1
```

## Properties
DFT formation energy: -0.59 eV per atom
DOS at the Fermi energy: 2.36 states/eV per cell
Final energy: -6.634 eV/atom
Spin magnetization: 0.00 μB per cell
Calculated volume: 88.9 Å³/cell
Distance to the lowest polymorph of the same formula: 0.0 meV per atom
Space-group type: No. 38

***

A geometry-optimized TiAgH2F8 structure, computed with PBE.

Cell and atoms, written as CIF:
```
data_TiAgH2F8
_chemical_formula_sum 'Ti1 Ag1 H2 F8'
_symmetry_space_group_name_H-M 'P 1'
_symmetry_Int_Tables_number 1
_cell_length_a 4.826
_cell_length_b 4.951
_cell_length_c 6.997
_cell_angle_alpha 103.41
_cell_angle_beta 91.33
_cell_angle_gamma 101.64
loop_
_symmetry_equiv_pos_as_xyz
'x,y,z'
loop_
_atom_site_label
_atom_site_type_symbol
_atom_site_fract_x
_atom_site_fract_y
_atom_site_fract_z
_atom_site_occupancy
Ti1 Ti 0.000 0.000 0.000 1
Ag1 Ag 0.000 0.000 0.500 1
H1 H 0.258 0.529 0.324 1
H2 H 0.742 0.471 0.676 1
F1 F 0.193 0.141 0.788 1
F2 F 0.237 0.285 0.210 1
F3 F 0.242 0.765 0.002 1
F4 F 0.288 0.712 0.443 1
F5 F 0.712 0.288 0.557 1
F6 F 0.758 0.235 0.998 1
F7 F 0.763 0.715 0.790 1
F8 F 0.807 0.859 0.212 1
```

## Properties
Final energy: -4.862 eV/atom
Spin magnetization: 1.00 μB per cell
Calculated volume: 158.9 Å³/cell
Space-group type: No. 2

***

A geometry-optimized Be2CuTc structure, computed with PBE.

Cell and atoms, written as CIF:
```
data_Be2CuTc
_chemical_formula_sum 'Be2 Cu1 Tc1'
_symmetry_space_group_name_H-M 'P 1'
_symmetry_Int_Tables_number 1
_cell_length_a 3.656
_cell_length_b 3.656
_cell_length_c 3.183
_cell_angle_alpha 90.00
_cell_angle_beta 90.00
_cell_angle_gamma 90.00
loop_
_symmetry_equiv_pos_as_xyz
'x,y,z'
loop_
_atom_site_label
_atom_site_type_symbol
_atom_site_fract_x
_atom_site_fract_y
_atom_site_fract_z
_atom_site_occupancy
Be1 Be 0.000 0.500 0.000 1
Be2 Be 0.500 0.000 0.000 1
Cu1 Cu 0.000 0.000 0.500 1
Tc1 Tc 0.500 0.500 0.500 1
```

## Properties
DFT formation energy: -0.15 eV per atom
DOS at the Fermi energy: 1.83 states/eV per cell
Final energy: -5.626 eV/atom
Spin magnetization: 0.00 μB per cell
Calculated volume: 42.5 Å³/cell
Distance to the lowest polymorph of the same formula: 0.0 meV per atom
Space-group type: No. 123

***

A geometry-optimized Cs2PaPO6 structure, computed with PBE.

Cell and atoms, written as CIF:
```
data_Cs2PaPO6
_chemical_formula_sum 'Cs2 Pa1 P1 O6'
_symmetry_space_group_name_H-M 'P 1'
_symmetry_Int_Tables_number 1
_cell_length_a 6.713
_cell_length_b 6.713
_cell_length_c 5.469
_cell_angle_alpha 90.00
_cell_angle_beta 90.00
_cell_angle_gamma 120.00
loop_
_symmetry_equiv_pos_as_xyz
'x,y,z'
loop_
_atom_site_label
_atom_site_type_symbol
_atom_site_fract_x
_atom_site_fract_y
_atom_site_fract_z
_atom_site_occupancy
Cs1 Cs 0.333 0.667 0.133 1
Cs2 Cs 0.667 0.333 0.867 1
Pa1 Pa 0.000 0.000 0.500 1
P1 P 0.000 0.000 0.000 1
O1 O 0.122 0.243 0.808 1
O2 O 0.122 0.878 0.808 1
O3 O 0.243 0.122 0.192 1
O4 O 0.757 0.878 0.808 1
O5 O 0.878 0.122 0.192 1
O6 O 0.878 0.757 0.192 1
```

## Properties
DOS at the Fermi energy: 0.00 states/eV per cell
Final energy: -6.929 eV/atom
Spin magnetization: 0.00 μB per cell
Calculated volume: 213.4 Å³/cell
Space-group type: No. 164
Formation energy from raw total energies: -2212.4 kJ/mol of formula units

***

A geometry-optimized YI2N2 structure, computed with PBE.

Cell and atoms, written as CIF:
```
data_YI2N2
_chemical_formula_sum 'Y1 I2 N2'
_symmetry_space_group_name_H-M 'P 1'
_symmetry_Int_Tables_number 1
_cell_length_a 6.076
_cell_length_b 6.076
_cell_length_c 4.677
_cell_angle_alpha 90.00
_cell_angle_beta 90.00
_cell_angle_gamma 90.00
loop_
_symmetry_equiv_pos_as_xyz
'x,y,z'
loop_
_atom_site_label
_atom_site_type_symbol
_atom_site_fract_x
_atom_site_fract_y
_atom_site_fract_z
_atom_site_occupancy
Y1 Y 0.000 0.000 0.000 1
I1 I 0.000 0.500 0.000 1
I2 I 0.500 0.000 0.000 1
N1 N 0.000 0.000 0.500 1
N2 N 0.500 0.500 0.500 1
```

## Properties
DOS at the Fermi energy: 0.59 states/eV per cell
Final energy: -4.449 eV/atom
Spin magnetization: 5.01 μB per cell
Calculated volume: 172.7 Å³/cell
Distance to the lowest polymorph of the same formula: 61.5 meV per atom
Space-group type: No. 123
Formation energy from raw total energies: 383.1 kJ/mol of formula units

***

A geometry-optimized LiPm3U3N8 structure, computed with PBE.

Cell and atoms, written as CIF:
```
data_LiPm3U3N8
_chemical_formula_sum 'Li1 Pm3 U3 N8'
_symmetry_space_group_name_H-M 'P 1'
_symmetry_Int_Tables_number 1
_cell_length_a 6.856
_cell_length_b 6.856
_cell_length_c 6.856
_cell_angle_alpha 60.17
_cell_angle_beta 60.17
_cell_angle_gamma 60.17
loop_
_symmetry_equiv_pos_as_xyz
'x,y,z'
loop_
_atom_site_label
_atom_site_type_symbol
_atom_site_fract_x
_atom_site_fract_y
_atom_site_fract_z
_atom_site_occupancy
Li1 Li 0.000 0.000 0.000 1
Pm1 Pm 0.000 0.000 0.500 1
Pm2 Pm 0.000 0.500 0.000 1
Pm3 Pm 0.500 0.000 0.000 1
U1 U 0.000 0.500 0.500 1
U2 U 0.500 0.000 0.500 1
U3 U 0.500 0.500 0.000 1
N1 N 0.242 0.242 0.715 1
N2 N 0.242 0.715 0.242 1
N3 N 0.261 0.261 0.261 1
N4 N 0.285 0.758 0.758 1
N5 N 0.715 0.242 0.242 1
N6 N 0.739 0.739 0.739 1
N7 N 0.758 0.285 0.758 1
N8 N 0.758 0.758 0.285 1
```

## Properties
DOS at the Fermi energy: 10.14 states/eV per cell
Final energy: -8.903 eV/atom
Spin magnetization: 0.01 μB per cell
Calculated volume: 228.8 Å³/cell
Space-group type: No. 166
Formation energy from raw total energies: -1632.3 kJ/mol of formula units

***

A geometry-optimized Ce2TlTe structure, computed with PBE.

Cell and atoms, written as CIF:
```
data_Ce2TlTe
_chemical_formula_sum 'Ce2 Tl1 Te1'
_symmetry_space_group_name_H-M 'P 1'
_symmetry_Int_Tables_number 1
_cell_length_a 9.022
_cell_length_b 9.022
_cell_length_c 9.022
_cell_angle_alpha 26.73
_cell_angle_beta 26.73
_cell_angle_gamma 26.73
loop_
_symmetry_equiv_pos_as_xyz
'x,y,z'
loop_
_atom_site_label
_atom_site_type_symbol
_atom_site_fract_x
_atom_site_fract_y
_atom_site_fract_z
_atom_site_occupancy
Ce1 Ce 0.000 0.000 0.000 1
Ce2 Ce 0.178 0.178 0.178 1
Tl1 Tl 0.422 0.422 0.422 1
Te1 Te 0.589 0.589 0.589 1
```

## Properties
DOS at the Fermi energy: 15.75 states/eV per cell
Final energy: -4.967 eV/atom
Spin magnetization: 2.48 μB per cell
Calculated volume: 131.0 Å³/cell
Distance to the lowest polymorph of the same formula: 70.9 meV per atom
Space-group type: No. 160
Formation energy from raw total energies: -240.6 kJ/mol of formula units